#A
Compound: PrPuSc2
Source: Alexandria via LeMat-Bulk
Functional: PBE-GGA
Structure: optimized geometry

Lattice parameters (Å, degrees): 3.3846 3.3846 32.9902 90.00 90.00 120.00
Space group R3m (No. 160, hexagonal axes)
Inequivalent atoms, fractional coordinates:
Pr 0.0000 0.0000 0.0000 [3 per cell]
Pu 0.0000 0.0000 0.8343 [3 per cell]
Sc 0.0000 0.0000 0.2465 [3 per cell]
Sc 0.0000 0.0000 0.4216 [3 per cell]

Summary:
- ρ (g/cm3) = 7.23
- Fermi-level density of states (states/eV per cell) = 32.23



#B
Compound: PrPuSc2
Source: Alexandria via LeMat-Bulk
Functional: PBE-GGA
Structure: optimized geometry

Lattice parameters (Å, degrees): 7.6423 7.6423 7.6423 90.00 90.00 90.00
Space group Fm-3m (No. 225)
Inequivalent atoms, fractional coordinates:
Pr 0.0000 0.0000 0.0000 [4 per cell]
Pu 0.0000 0.0000 0.5000 [4 per cell]
Sc 0.2500 0.2500 0.2500 [8 per cell]

Summary:
- ρ (g/cm3) = 7.07
- Fermi-level density of states (states/eV per cell) = 34.45



Result of the stability comparison: #A is the most stable of them.



#A
Compound: PrPuTeSe
Source: Alexandria via LeMat-Bulk
Functional: PBE-GGA
Structure: optimized geometry

Lattice parameters (Å, degrees): 4.3071 4.3071 21.6324 90.00 90.00 120.00
Space group R3m (No. 160, hexagonal axes)
Inequivalent atoms, fractional coordinates:
Pr 0.0000 0.0000 0.0000 [3 per cell]
Pu 0.0000 0.0000 0.5152 [3 per cell]
Te 0.0000 0.0000 0.7602 [3 per cell]
Se 0.0000 0.0000 0.2541 [3 per cell]

Summary:
- ρ (g/cm3) = 8.48
- Fermi-level density of states (states/eV per cell) = 29.98



#B
Compound: PrPuTeSe
Source: Alexandria via LeMat-Bulk
Functional: PBE-GGA
Structure: optimized geometry

Lattice parameters (Å, degrees): 7.5489 7.5489 7.5489 90.00 90.00 90.00
Space group F-43m (No. 216)
Inequivalent atoms, fractional coordinates:
Pr 0.0000 0.0000 0.0000 [4 per cell]
Pu 0.0000 0.0000 0.5000 [4 per cell]
Te 0.2500 0.2500 0.7500 [4 per cell]
Se 0.2500 0.2500 0.2500 [4 per cell]

Summary:
- ρ (g/cm3) = 9.13
- Fermi-level density of states (states/eV per cell) = 22.98



Result of the stability comparison: #A is the most stable of them.



#A
Compound: PrPuSi2
Source: Alexandria via LeMat-Bulk
Functional: PBE-GGA
Structure: optimized geometry

Lattice parameters (Å, degrees): 3.8814 5.8794 8.2056 90.00 90.00 90.00
Space group Pmc2_1 (No. 26)
Inequivalent atoms, fractional coordinates:
Pr 0.0000 0.1396 0.0000 [2 per cell]
Pu 0.5000 0.3603 0.3583 [2 per cell]
Si 0.0000 0.3759 0.6458 [2 per cell]
Si 0.5000 0.1365 0.7104 [2 per cell]

Summary:
- ρ (g/cm3) = 7.82
- Fermi-level density of states (states/eV per cell) = 20.75



#B
Compound: PrPuSi2
Source: Alexandria via LeMat-Bulk
Functional: PBE-GGA
Structure: optimized geometry

Lattice parameters (Å, degrees): 3.8785 4.3687 11.0357 90.00 90.00 90.00
Space group Amm2 (No. 38)
Inequivalent atoms, fractional coordinates:
Pr 0.0000 0.0000 0.0000 [2 per cell]
Pu 0.5000 0.0000 0.2899 [2 per cell]
Si 0.0000 0.0000 0.7167 [2 per cell]
Si 0.5000 0.0000 0.5805 [2 per cell]

Summary:
- ρ (g/cm3) = 7.83
- Fermi-level density of states (states/eV per cell) = 19.94



#C
Compound: PrPuSi2
Source: Alexandria via LeMat-Bulk
Functional: PBE-GGA
Structure: optimized geometry

Lattice parameters (Å, degrees): 4.7312 4.7312 14.7194 90.00 90.00 120.00
Space group R-3m (No. 166, hexagonal axes)
Inequivalent atoms, fractional coordinates:
Pr 0.0000 0.0000 0.0000 [3 per cell]
Pu 0.0000 0.0000 0.5000 [3 per cell]
Si 0.0000 0.0000 0.2364 [6 per cell]

Summary:
- ρ (g/cm3) = 7.70
- Fermi-level density of states (states/eV per cell) = 28.28



Result of the stability comparison: #B is the most stable of them.



#A
Compound: PrSmPu
Source: Alexandria via LeMat-Bulk
Functional: PBE-GGA
Structure: optimized geometry

Lattice parameters (Å, degrees): 5.7648 5.7648 3.3602 90.00 90.00 120.00
Space group P-6m2 (No. 187)
Inequivalent atoms, fractional coordinates:
Pr 0.0000 0.0000 0.0000 [1 per cell]
Sm 0.3333 0.6667 0.0000 [1 per cell]
Pu 0.6667 0.3333 0.5000 [1 per cell]

Summary:
- ρ (g/cm3) = 9.19
- Fermi-level density of states (states/eV per cell) = 10.31



#B
Compound: PrSmPu
Source: Alexandria via LeMat-Bulk
Functional: PBE-GGA
Structure: optimized geometry

Lattice parameters (Å, degrees): 3.5784 3.5784 15.2245 90.00 90.00 90.00
Space group I4mm (No. 107)
Inequivalent atoms, fractional coordinates:
Pr 0.0000 0.0000 0.0000 [2 per cell]
Sm 0.0000 0.0000 0.3258 [2 per cell]
Pu 0.0000 0.0000 0.6649 [2 per cell]

Summary:
- ρ (g/cm3) = 9.12
- Fermi-level density of states (states/eV per cell) = 13.89



Result of the stability comparison: #B is the most stable of them.